Crystalline LaSi3Hg at its relaxed geometry, computed with GGA-PBE.

a b c (Å): 5.0533 5.0533 5.0533
angles (deg): 90.00 90.00 90.00
With the nearest neighbours (Å) after each atom.
Space group Pm-3m (No. 221)
Unique sites:
1 La 0.0000 0.0000 0.0000 x1  12 Si 3.57
2 Si 0.0000 0.5000 0.5000 x3  2 Hg 2.53
3 Hg 0.5000 0.5000 0.5000 x1  6 Si 2.53

## Properties
V in A^3/atom: 25.81
Uncorrected formation energy in eV/atom: 0.6110
Uncorrected energy in hartree per atom: -0.1356